! TbH6Pd3 | Alexandria | PBE-GGA | relaxed; values from VASP
&SYSTEM
  ibrav = 0, nat = 10, ntyp = 3
/
ATOMIC_SPECIES
Tb 158.93 Tb.upf
H 1.01 H.upf
Pd 106.42 Pd.upf
CELL_PARAMETERS angstrom
2.466 1.424 4.458
-2.466 1.424 4.458
0.000 -2.848 4.458
ATOMIC_POSITIONS crystal
Tb 0.000 0.000 0.000
H 0.018 0.540 0.497
H 0.169 0.535 0.842
H 0.497 0.018 0.540
H 0.535 0.842 0.169
H 0.540 0.497 0.018
H 0.842 0.169 0.535
Pd 0.229 0.229 0.229
Pd 0.447 0.447 0.447
Pd 0.770 0.770 0.770
! - Electronic total energy: -4.36 eV per atom

! TbH4Pd5 | Alexandria | PBE-GGA | relaxed; values from VASP
&SYSTEM
  ibrav = 0, nat = 20, ntyp = 3
/
ATOMIC_SPECIES
Tb 158.93 Tb.upf
H 1.01 H.upf
Pd 106.42 Pd.upf
CELL_PARAMETERS angstrom
5.792 0.000 0.000
0.000 8.399 0.000
0.000 0.000 4.772
ATOMIC_POSITIONS crystal
Tb 0.250 0.250 0.226
Tb 0.750 0.750 0.774
H 0.060 0.750 0.455
H 0.250 0.530 0.911
H 0.250 0.970 0.911
H 0.440 0.750 0.455
H 0.560 0.250 0.545
H 0.750 0.030 0.089
H 0.750 0.470 0.089
H 0.940 0.250 0.545
Pd 0.003 0.580 0.246
Pd 0.003 0.920 0.246
Pd 0.250 0.750 0.769
Pd 0.497 0.580 0.246
Pd 0.497 0.920 0.246
Pd 0.503 0.080 0.754
Pd 0.503 0.420 0.754
Pd 0.750 0.250 0.231
Pd 0.997 0.080 0.754
Pd 0.997 0.420 0.754
! - Electronic total energy: -4.77 eV per atom

! Tb2H4Pd | Alexandria | PBE-GGA | relaxed; values from VASP
&SYSTEM
  ibrav = 0, nat = 7, ntyp = 3
/
ATOMIC_SPECIES
Tb 158.93 Tb.upf
H 1.01 H.upf
Pd 106.42 Pd.upf
CELL_PARAMETERS angstrom
-1.771 1.771 6.590
1.771 -1.771 6.590
1.771 1.771 -6.590
ATOMIC_POSITIONS crystal
Tb 0.155 0.155 0.000
Tb 0.845 0.845 0.000
H 0.000 0.500 0.500
H 0.328 0.328 0.000
H 0.500 0.000 0.500
H 0.672 0.672 0.000
Pd 0.500 0.500 0.000
! - Electronic total energy: -4.43 eV per atom

electronic total energy of number 2 (TbH4Pd5)?
-4.77 eV per atom

What did the third record say?
! Tb2H4Pd | Alexandria | PBE-GGA | relaxed; values from VASP
&SYSTEM
  ibrav = 0, nat = 7, ntyp = 3
/
ATOMIC_SPECIES
Tb 158.93 Tb.upf
H 1.01 H.upf
Pd 106.42 Pd.upf
CELL_PARAMETERS angstrom
-1.771 1.771 6.590
1.771 -1.771 6.590
1.771 1.771 -6.590
ATOMIC_POSITIONS crystal
Tb 0.155 0.155 0.000
Tb 0.845 0.845 0.000
H 0.000 0.500 0.500
H 0.328 0.328 0.000
H 0.500 0.000 0.500
H 0.672 0.672 0.000
Pd 0.500 0.500 0.000
! - Electronic total energy: -4.43 eV per atom

Among the records above, which one has the highest electronic total energy?
TbH6Pd3